Crystalline Pr2TaSi4Pt3 at its relaxed geometry. Source: Alexandria via LeMat-Bulk, functional PBE.

abc: 4.252 4.252 10.313
angles: 90.00 90.00 90.00
Sites, in units of the cell vectors:
Pr1 0.000 0.500 0.237
Pr2 0.500 0.000 0.763
Ta1 0.000 0.000 0.500
Si1 0.000 0.000 0.000
Si2 0.000 0.500 0.644
Si3 0.500 0.000 0.356
Si4 0.500 0.500 0.000
Pt1 0.000 0.500 0.883
Pt2 0.500 0.000 0.117
Pt3 0.500 0.500 0.500

Values from the calculation:
- Crystal system: tetragonal
- Raw formation energy: -9.63 eV per formula unit
- E: -0.521 Ry/atom
- Spin magnetization: 0.0000 μB per atom
- Space group: P-4m2, No. 115


Crystalline TbPrSi2Pt2 at its relaxed geometry. Source: Alexandria via LeMat-Bulk, functional PBE.

abc: 4.171 4.171 8.398
angles: 90.00 90.00 120.00
Sites, in units of the cell vectors:
Tb1 0.000 0.000 0.000
Pr1 0.000 0.000 0.500
Si1 0.333 0.667 0.756
Si2 0.667 0.333 0.244
Pt1 0.333 0.667 0.237
Pt2 0.667 0.333 0.763

Values from the calculation:
- Crystal system: trigonal
- Raw formation energy: -6.77 eV per formula unit
- E: -0.479 Ry/atom
- Spin magnetization: 0.0000 μB per atom
- Space group: P-3m1, No. 164


Crystalline TbPrSi2Pt5 at its relaxed geometry. Source: Alexandria via LeMat-Bulk, functional PBE.

abc: 4.257 4.257 9.003
angles: 90.00 90.00 90.00
Sites, in units of the cell vectors:
Tb1 0.000 0.000 0.000
Pr1 0.000 0.000 0.500
Si1 0.500 0.500 0.132
Si2 0.500 0.500 0.868
Pt1 0.000 0.500 0.258
Pt2 0.000 0.500 0.742
Pt3 0.500 0.000 0.258
Pt4 0.500 0.000 0.742
Pt5 0.500 0.500 0.500

Values from the calculation:
- Crystal system: tetragonal
- Raw formation energy: -9.25 eV per formula unit
- E: -0.488 Ry/atom
- Spin magnetization: 0.0000 μB per atom
- Space group: P4/mmm, No. 123


Crystalline TbPr2Si3Pt4 at its relaxed geometry. Source: Alexandria via LeMat-Bulk, functional PBE.

abc: 4.300 4.300 10.842
angles: 90.00 90.00 90.00
Sites, in units of the cell vectors:
Tb1 0.000 0.000 0.000
Pr1 0.000 0.500 0.727
Pr2 0.500 0.000 0.273
Si1 0.000 0.500 0.383
Si2 0.500 0.000 0.617
Si3 0.500 0.500 0.000
Pt1 0.000 0.000 0.500
Pt2 0.000 0.500 0.161
Pt3 0.500 0.000 0.839
Pt4 0.500 0.500 0.500

Values from the calculation:
- Crystal system: tetragonal
- Raw formation energy: -10.46 eV per formula unit
- E: -0.478 Ry/atom
- Spin magnetization: 0.0000 μB per atom
- Space group: P-4m2, No. 115


Crystalline PrThSi2Pt5 at its relaxed geometry. Source: Alexandria via LeMat-Bulk, functional PBE.

abc: 4.345 4.345 8.868
angles: 90.00 90.00 90.00
Sites, in units of the cell vectors:
Pr1 0.000 0.000 0.000
Th1 0.000 0.000 0.500
Si1 0.500 0.500 0.364
Si2 0.500 0.500 0.636
Pt1 0.000 0.500 0.240
Pt2 0.000 0.500 0.760
Pt3 0.500 0.000 0.240
Pt4 0.500 0.000 0.760
Pt5 0.500 0.500 0.000

Values from the calculation:
- Crystal system: tetragonal
- Raw formation energy: -9.19 eV per formula unit
- E: -0.510 Ry/atom
- Spin magnetization: 0.0000 μB per atom
- Space group: P4/mmm, No. 123


Crystalline Pr2ThSi3Pt12 at its relaxed geometry. Source: Alexandria via LeMat-Bulk, functional PBE.

abc: 7.873 7.873 7.873
angles: 63.66 63.66 63.66
Sites, in units of the cell vectors:
Pr1 0.097 0.097 0.097
Pr2 0.903 0.903 0.903
Th1 0.500 0.500 0.500
Si1 0.000 0.500 0.500
Si2 0.500 0.000 0.500
Si3 0.500 0.500 0.000
Pt1 0.091 0.645 0.645
Pt2 0.153 0.153 0.600
Pt3 0.153 0.600 0.153
Pt4 0.355 0.355 0.909
Pt5 0.355 0.909 0.355
Pt6 0.400 0.847 0.847
Pt7 0.600 0.153 0.153
Pt8 0.645 0.091 0.645
Pt9 0.645 0.645 0.091
Pt10 0.847 0.400 0.847
Pt11 0.847 0.847 0.400
Pt12 0.909 0.355 0.355

Values from the calculation:
- Crystal system: trigonal
- Raw formation energy: -10.28 eV per formula unit
- E: -0.474 Ry/atom
- Spin magnetization: 0.0000 μB per atom
- Space group: R-3m, No. 166


Crystalline Pr2TiSi4Pt3 at its relaxed geometry. Source: Alexandria via LeMat-Bulk, functional PBE.

abc: 4.224 4.224 10.359
angles: 90.00 90.00 90.00
Sites, in units of the cell vectors:
Pr1 0.000 0.500 0.242
Pr2 0.500 0.000 0.758
Ti1 0.000 0.000 0.500
Si1 0.000 0.000 0.000
Si2 0.000 0.500 0.641
Si3 0.500 0.000 0.359
Si4 0.500 0.500 0.000
Pt1 0.000 0.500 0.882
Pt2 0.500 0.000 0.118
Pt3 0.500 0.500 0.500

Values from the calculation:
- Crystal system: tetragonal
- Raw formation energy: -10.37 eV per formula unit
- E: -0.497 Ry/atom
- Spin magnetization: 0.0000 μB per atom
- Space group: P-4m2, No. 115


Crystalline Pr2TmSi3Pt12 at its relaxed geometry. Source: Alexandria via LeMat-Bulk, functional PBE.

abc: 7.744 7.744 7.744
angles: 65.18 65.18 65.18
Sites, in units of the cell vectors:
Pr1 0.101 0.101 0.101
Pr2 0.899 0.899 0.899
Tm1 0.500 0.500 0.500
Si1 0.000 0.500 0.500
Si2 0.500 0.000 0.500
Si3 0.500 0.500 0.000
Pt1 0.104 0.642 0.642
Pt2 0.151 0.151 0.600
Pt3 0.151 0.600 0.151
Pt4 0.358 0.358 0.896
Pt5 0.358 0.896 0.358
Pt6 0.400 0.849 0.849
Pt7 0.600 0.151 0.151
Pt8 0.642 0.104 0.642
Pt9 0.642 0.642 0.104
Pt10 0.849 0.400 0.849
Pt11 0.849 0.849 0.400
Pt12 0.896 0.358 0.358

Values from the calculation:
- Crystal system: trigonal
- Raw formation energy: -10.00 eV per formula unit
- E: -0.461 Ry/atom
- Spin magnetization: 0.0000 μB per atom
- Space group: R-3m, No. 166


Crystalline PrTmSi2Pt2 at its relaxed geometry. Source: Alexandria via LeMat-Bulk, functional PBE.

abc: 4.173 4.173 8.212
angles: 90.00 90.00 120.00
Sites, in units of the cell vectors:
Pr1 0.000 0.000 0.000
Tm1 0.000 0.000 0.500
Si1 0.333 0.667 0.741
Si2 0.667 0.333 0.259
Pt1 0.333 0.667 0.271
Pt2 0.667 0.333 0.729

Values from the calculation:
- Crystal system: trigonal
- Raw formation energy: -6.77 eV per formula unit
- E: -0.477 Ry/atom
- Spin magnetization: 0.0000 μB per atom
- Space group: P-3m1, No. 164


Crystalline Pr2USi3Pt12 at its relaxed geometry. Source: Alexandria via LeMat-Bulk, functional PBE.

abc: 7.951 7.951 7.951
angles: 61.98 61.98 61.98
Sites, in units of the cell vectors:
Pr1 0.101 0.101 0.101
Pr2 0.899 0.899 0.899
U1 0.500 0.500 0.500
Si1 0.000 0.500 0.500
Si2 0.500 0.000 0.500
Si3 0.500 0.500 0.000
Pt1 0.106 0.635 0.635
Pt2 0.151 0.151 0.598
Pt3 0.151 0.598 0.151
Pt4 0.365 0.365 0.894
Pt5 0.365 0.894 0.365
Pt6 0.402 0.849 0.849
Pt7 0.598 0.151 0.151
Pt8 0.635 0.106 0.635
Pt9 0.635 0.635 0.106
Pt10 0.849 0.402 0.849
Pt11 0.849 0.849 0.402
Pt12 0.894 0.365 0.365

Values from the calculation:
- Crystal system: trigonal
- Raw formation energy: -9.43 eV per formula unit
- E: -0.486 Ry/atom
- Spin magnetization: 0.0153 μB per atom
- Space group: R-3m, No. 166


Crystalline Pr2USi4Pt3 at its relaxed geometry. Source: Alexandria via LeMat-Bulk, functional PBE.

abc: 4.291 4.291 10.864
angles: 90.00 90.00 90.00
Sites, in units of the cell vectors:
Pr1 0.000 0.500 0.231
Pr2 0.500 0.000 0.769
U1 0.000 0.000 0.500
Si1 0.000 0.000 0.000
Si2 0.000 0.500 0.668
Si3 0.500 0.000 0.332
Si4 0.500 0.500 0.000
Pt1 0.000 0.500 0.893
Pt2 0.500 0.000 0.107
Pt3 0.500 0.500 0.500

Values from the calculation:
- Crystal system: tetragonal
- Raw formation energy: -8.04 eV per formula unit
- E: -0.505 Ry/atom
- Spin magnetization: 0.2235 μB per atom
- Space group: P-4m2, No. 115


Crystalline Pr2USi3Pt4 at its relaxed geometry. Source: Alexandria via LeMat-Bulk, functional PBE.

abc: 4.298 4.298 10.821
angles: 90.00 90.00 90.00
Sites, in units of the cell vectors:
Pr1 0.000 0.500 0.230
Pr2 0.500 0.000 0.770
U1 0.000 0.000 0.500
Si1 0.000 0.500 0.883
Si2 0.500 0.000 0.117
Si3 0.500 0.500 0.500
Pt1 0.000 0.000 0.000
Pt2 0.000 0.500 0.660
Pt3 0.500 0.000 0.340
Pt4 0.500 0.500 0.000

Values from the calculation:
- Crystal system: tetragonal
- Raw formation energy: -9.13 eV per formula unit
- E: -0.517 Ry/atom
- Spin magnetization: 0.2245 μB per atom
- Space group: P-4m2, No. 115